# RbBa4Pa3O12

Crystalline RbBa4Pa3O12 at its relaxed geometry (PBE, Alexandria via LeMat-Bulk).

Values from the calculation:
Formation energy from raw total energies   -3.08 eV per atom
Spin magnetization   0.00 μB per atom

Lattice parameters (Å, degrees): 9.1287 9.1287 9.1287 90.00 90.00 90.00
Last column: nearest neighbours and their distance in Å.
Space group Im-3m (No. 229)
One atom of each set of equivalent atoms:
Rb: 0.0000 0.0000 0.0000 [2 per cell]  6 O 2.55
Ba: 0.2500 0.2500 0.2500 [8 per cell]  12 O 3.23-3.24
Pa: 0.0000 0.0000 0.5000 [6 per cell]  2 O 2.02
O: 0.0000 0.0000 0.2789 [12 per cell]  1 Pa 2.02
O: 0.0000 0.2500 0.5000 [12 per cell]  2 Pa 2.28